(1)
A relaxed structure of SnW2C. Source: OQMD, functional PBE-GGA.

Cell lengths 3.1934, 3.1934, 13.5731 Å; angles 90.00, 90.00, 120.00 degrees
Fractional positions:
1 C 0.0000 0.0000 0.5000
2 C 0.0000 0.0000 0.0000
3 W 0.3333 0.6667 0.4186
4 W 0.3333 0.6667 0.0814
5 Sn 0.3333 0.6667 0.7500
6 W 0.6667 0.3333 0.5814
7 Sn 0.6667 0.3333 0.2500
8 W 0.6667 0.3333 0.9186

---

(2)
A relaxed structure of LuZnOs. Source: OQMD, functional PBE-GGA.

Cell lengths 4.4495, 4.4495, 4.4495 Å; angles 60.00, 60.00, 60.00 degrees
Fractional positions:
1 Lu 0.2500 0.2500 0.2500
2 Zn 0.7500 0.7500 0.7500
3 Os 0.0000 0.0000 0.0000

Computed properties:
energy of formation: 0.202 eV/atom

---

(3)
A relaxed structure of Y2Er2CF5. Source: OQMD, functional PBE-GGA.

Cell lengths 7.4946, 7.4946, 6.6883 Å; angles 115.14, 115.14, 26.08 degrees
Fractional positions:
1 Y 0.6848 0.6848 0.1868
2 F 0.1699 0.1699 0.4546
3 C 0.5000 0.5000 0.0000
4 Y 0.3152 0.3152 0.8132
5 Er 0.0015 0.0015 0.7622
6 F 0.1721 0.1721 0.8894
7 F 0.5000 0.5000 0.5000
8 F 0.8301 0.8301 0.5454
9 F 0.8279 0.8279 0.1106
10 Er 0.9985 0.9985 0.2378

---

(4)
A relaxed structure of NaHoO3. Source: OQMD, functional PBE-GGA.

Cell lengths 5.8287, 5.8287, 5.8287 Å; angles 61.27, 61.27, 61.27 degrees
Fractional positions:
1 Ho 0.0000 0.0000 0.0000
2 O 0.7500 0.3684 0.1317
3 O 0.3684 0.1316 0.7500
4 O 0.1316 0.7500 0.3684
5 O 0.8684 0.2500 0.6316
6 O 0.2500 0.6316 0.8684
7 Ho 0.5000 0.5000 0.5000
8 Na 0.2500 0.2500 0.2500
9 O 0.6316 0.8684 0.2500
10 Na 0.7500 0.7500 0.7500

---

Number 1: total magnetic moment 0.0 μB/f.u., electronic total energy -9.498 eV/atom. Number 2: total magnetic moment 0.0 μB/f.u., electronic total energy -5.469 eV/atom. Number 3: total magnetic moment 0.0 μB/f.u., electronic total energy -6.726 eV/atom. Number 4: total magnetic moment 2.0 μB/f.u., electronic total energy -5.962 eV/atom.